[1]
Material: Sc2CrIr
Method: DFT, PBE
State: relaxed

The total magnetization is 3.3 μB/f.u. Its total energy is -7.719 eV/atom. As for the crystal system: tetragonal. Its energy relative to the elements is 0.067 eV/atom.

Unit cell a=7.356 b=7.356 c=5.950 alpha=51.82 beta=51.82 gamma=90.00
Atoms (fractional coordinates):
Cr  0.250  0.750  0.500
Cr  0.500  0.500  0.000
Sc  0.875  0.905  0.750
Sc  0.095  0.625  0.250
Sc  0.655  0.125  0.250
Sc  0.375  0.345  0.750
Ir  0.000  0.000  0.000
Ir  0.750  0.250  0.500

---

[2]
Material: BaSi3F
Method: DFT, PBE
State: relaxed

The total magnetization is 0.0 μB/f.u. Its total energy is -3.973 eV/atom. As for the crystal system: cubic. The formation energy (no corrections) is 0.040 eV per atom. The calculation puts the offset from the most stable computed form at 0.000 eV/atom.

Unit cell a=4.750 b=4.750 c=4.750 alpha=90.00 beta=90.00 gamma=90.00
Atoms (fractional coordinates):
Si  0.500  0.000  0.000
Si  0.000  0.000  0.500
Si  0.000  0.500  0.000
F  0.000  0.000  0.000
Ba  0.500  0.500  0.500

---

Look up the total magnetization of the second one. 0.0 μB/f.u.